Record 1
VASP calculation (PBE) on crystalline ZnCr2CdMo at its relaxed geometry.

Results
Energy of formation in eV per atom: 1.132
SG: P4/mmm, No. 123

POSCAR file:
```
ZnCr2CdMo
1.0
-1.8623 4.1722 0.5064
-4.5181 -1.8981 -0.9771
-0.6235 -0.8220 4.4797
Mo Cr Zn Cd
1 2 1 1
direct
0.0000 0.0000 0.0000
0.5000 0.0000 0.0000
0.0000 0.0000 0.5000
0.0000 0.5000 0.0000
0.5000 0.5000 0.5000
```


Record 2
VASP calculation (PBE) on crystalline Cr2CdN at its relaxed geometry.

Results
Distance to the lowest polymorph of the same formula in kcal/mol of atoms: 0.00
SG: I-42d, No. 122
Formation energy from raw total energies in meV per atom: 161

POSCAR file:
```
Cr2CdN
1.0
6.0862 0.0000 0.0000
0.0000 6.0862 0.0000
3.0431 3.0431 3.3214
N Cd Cr
2 2 4
direct
0.5000 0.5000 0.0000
0.2500 0.7500 0.5000
0.7500 0.2500 0.5000
0.0000 0.0000 0.0000
0.2585 0.6250 0.2500
0.3750 0.5085 0.7500
0.8750 0.7415 0.7500
0.4915 0.1250 0.2500
```


Record 3
VASP calculation (PBE) on crystalline Cr2CdN2 at its relaxed geometry.

Results
SG: P-43m, No. 215
Formation energy from raw total energies in meV per atom: 1611

POSCAR file:
```
Cr2CdN2
1.0
-7.2244 -2.1965 -0.0964
1.9939 -6.4060 -3.4659
0.9263 -3.3412 6.7085
N Cr Cd
4 4 2
direct
0.3315 0.6685 0.3315
0.6685 0.3315 0.3315
0.6685 0.6685 0.6685
0.3315 0.3315 0.6685
0.7912 0.2088 0.2088
0.2088 0.2088 0.7912
0.2088 0.7912 0.2088
0.7912 0.7912 0.7912
0.0000 0.0000 0.0000
0.5000 0.5000 0.5000
```


Record 4
VASP calculation (PBE) on crystalline Cr2CdN at its relaxed geometry.

Results
Distance to the lowest polymorph of the same formula in kcal/mol of atoms: 32.38
SG: Fm-3m, No. 225
Formation energy from raw total energies in meV per atom: 1565

POSCAR file:
```
Cr2CdN
1.0
0.0000 2.9317 2.9317
2.9317 0.0000 2.9317
2.9317 2.9317 0.0000
N Cd Cr
1 1 2
direct
0.0000 0.0000 0.0000
0.5000 0.5000 0.5000
0.7500 0.7500 0.7500
0.2500 0.2500 0.2500
```


no.,raw total energy (eV/atom)
1,-5.322
2,-6.961
3,-5.752
4,-5.557